Compound: Ca2RhNCl
Source: Alexandria via LeMat-Bulk
Functional: PBE
Structure: relaxed

a b c (Å): 5.103 5.103 3.808
angles (deg): 90.00 90.00 90.00
Fractional positions:
Ca  0.000  0.500  0.000
Ca  0.500  0.000  0.000
N  0.000  0.000  0.000
Rh  0.000  0.000  0.500
Cl  0.500  0.500  0.500

Output
ΔE_f (raw), eV per atom: -1.025
V, Å³/atom: 19.8
Calculated density, g/cm³: 3.9
E_tot, eV for the cell shown: -26.6
Size of the total moment, μB per formula unit: 0.00
Symmetry: No. 123

Compound: CaSNCl2
Source: Alexandria via LeMat-Bulk
Functional: PBE
Structure: relaxed

a b c (Å): 4.532 4.532 4.345
angles (deg): 90.00 90.00 90.00
Fractional positions:
Ca  0.500  0.500  0.500
N  0.000  0.000  0.000
S  0.000  0.000  0.500
Cl  0.000  0.500  0.000
Cl  0.500  0.000  0.000

Output
ΔE_f (raw), eV per atom: -0.078
V, Å³/atom: 17.9
Calculated density, g/cm³: 2.9
E_tot, eV for the cell shown: -18.5
Size of the total moment, μB per formula unit: 0.35
Energy above the most stable polymorph in this dataset, kJ/mol of formula units: 0
Symmetry: No. 123

Compound: Ca6S3NCl2
Source: Alexandria via LeMat-Bulk
Functional: PBE
Structure: relaxed

a b c (Å): 6.913 6.913 6.732
angles (deg): 99.96 99.96 119.68
Fractional positions:
Ca  0.919  0.625  0.756
Ca  0.791  0.791  0.242
Ca  0.081  0.375  0.244
Ca  0.625  0.919  0.756
Ca  0.209  0.209  0.758
Ca  0.375  0.081  0.244
S  0.176  0.824  0.500
S  0.824  0.176  0.500
S  0.500  0.500  0.500
N  0.000  0.000  0.000
Cl  0.335  0.665  0.000
Cl  0.665  0.335  0.000

Output
ΔE_f (raw), eV per atom: -1.812
V, Å³/atom: 21.9
Calculated density, g/cm³: 2.7
E_tot, eV for the cell shown: -58.2
Size of the total moment, μB per formula unit: 0.00
Symmetry: No. 12

Compound: CaSNCl2
Source: Alexandria via LeMat-Bulk
Functional: PBE
Structure: relaxed

a b c (Å): 5.375 5.375 5.813
angles (deg): 90.00 90.00 90.00
Fractional positions:
Ca  0.000  0.000  0.000
N  0.500  0.500  0.500
S  0.000  0.000  0.500
Cl  0.000  0.500  0.000
Cl  0.500  0.000  0.000

Output
ΔE_f (raw), eV per atom: 0.259
V, Å³/atom: 33.6
Calculated density, g/cm³: 1.6
E_tot, eV for the cell shown: -16.9
Size of the total moment, μB per formula unit: 5.01
Energy above the most stable polymorph in this dataset, kJ/mol of formula units: 163
Symmetry: No. 123

Compound: Ca6SN2Cl3
Source: Alexandria via LeMat-Bulk
Functional: PBE
Structure: relaxed

a b c (Å): 6.581 6.581 6.994
angles (deg): 99.08 99.08 119.97
Fractional positions:
Ca  0.934  0.569  0.803
Ca  0.701  0.701  0.196
Ca  0.066  0.431  0.197
Ca  0.569  0.934  0.803
Ca  0.299  0.299  0.804
Ca  0.431  0.066  0.197
S  0.000  0.000  0.000
N  0.333  0.667  0.000
N  0.667  0.333  0.000
Cl  0.162  0.838  0.500
Cl  0.838  0.162  0.500
Cl  0.500  0.500  0.500

Output
ΔE_f (raw), eV per atom: -1.640
V, Å³/atom: 20.8
Calculated density, g/cm³: 2.7
E_tot, eV for the cell shown: -58.0
Size of the total moment, μB per formula unit: 0.00
Symmetry: No. 12

Compound: CaSN2Cl
Source: Alexandria via LeMat-Bulk
Functional: PBE
Structure: relaxed

a b c (Å): 4.126 4.126 4.476
angles (deg): 90.00 90.00 90.00
Fractional positions:
Ca  0.500  0.500  0.500
N  0.000  0.500  0.000
N  0.500  0.000  0.000
S  0.000  0.000  0.500
Cl  0.000  0.000  0.000

Output
ΔE_f (raw), eV per atom: 1.246
V, Å³/atom: 15.2
Calculated density, g/cm³: 3.0
E_tot, eV for the cell shown: -18.4
Size of the total moment, μB per formula unit: 0.75
Energy above the most stable polymorph in this dataset, kJ/mol of formula units: 0
Symmetry: No. 123

Compound: CaSN2Cl
Source: Alexandria via LeMat-Bulk
Functional: PBE
Structure: relaxed

a b c (Å): 4.647 4.647 5.678
angles (deg): 90.00 90.00 90.00
Fractional positions:
Ca  0.000  0.000  0.000
N  0.000  0.500  0.000
N  0.500  0.000  0.000
S  0.000  0.000  0.500
Cl  0.500  0.500  0.500

Output
ΔE_f (raw), eV per atom: 1.443
V, Å³/atom: 24.5
Calculated density, g/cm³: 1.8
E_tot, eV for the cell shown: -17.4
Size of the total moment, μB per formula unit: 4.99
Energy above the most stable polymorph in this dataset, kJ/mol of formula units: 95
Symmetry: No. 123

Compound: Ca6Sb2NCl
Source: Alexandria via LeMat-Bulk
Functional: PBE
Structure: relaxed

a b c (Å): 7.172 7.172 7.172
angles (deg): 60.00 60.00 60.00
Fractional positions:
Ca  0.232  0.768  0.768
Ca  0.232  0.768  0.232
Ca  0.232  0.232  0.768
Ca  0.768  0.768  0.232
Ca  0.768  0.232  0.232
Ca  0.768  0.232  0.768
Sb  0.750  0.750  0.750
Sb  0.250  0.250  0.250
N  0.000  0.000  0.000
Cl  0.500  0.500  0.500

Output
ΔE_f (raw), eV per atom: -0.986
V, Å³/atom: 26.1
Calculated density, g/cm³: 3.4
E_tot, eV for the cell shown: -40.3
Size of the total moment, μB per formula unit: 0.00
Symmetry: No. 225